No. 1
DFT (PBE) results for a relaxed structure of NaHF.

Summary:
SG: P-1, No. 2
E, eV per atom: -3.93
Distance to the lowest polymorph of the same formula, meV per atom: 30

a = 3.994 Å, b = 4.058 Å, c = 4.661 Å
α = 89.52°, β = 89.00°, γ = 64.70°
Fractional coordinates of all 6 atoms:
Na 0.168 0.176 0.248
Na 0.832 0.824 0.752
H 0.467 0.451 0.555
H 0.533 0.549 0.445
F 0.176 0.175 0.759
F 0.824 0.825 0.241

---

No. 2
DFT (PBE) results for a relaxed structure of Sm2CdGe2Rh5.

Summary:
SG: P4/mbm, No. 127
E, eV per atom: -6.34
ΔH_f (0 K), meV/atom: -710

a = 9.935 Å, b = 9.935 Å, c = 3.625 Å
α = 90.00°, β = 90.00°, γ = 90.00°
Fractional coordinates of all 20 atoms:
Sm 0.175 0.325 0.000
Sm 0.325 0.825 0.000
Sm 0.675 0.175 0.000
Sm 0.825 0.675 0.000
Cd 0.000 0.000 0.000
Cd 0.500 0.500 0.000
Ge 0.123 0.623 0.000
Ge 0.377 0.123 0.000
Ge 0.623 0.877 0.000
Ge 0.877 0.377 0.000
Rh 0.000 0.500 0.500
Rh 0.068 0.786 0.500
Rh 0.214 0.068 0.500
Rh 0.286 0.568 0.500
Rh 0.432 0.286 0.500
Rh 0.500 0.000 0.500
Rh 0.568 0.714 0.500
Rh 0.714 0.432 0.500
Rh 0.786 0.932 0.500
Rh 0.932 0.214 0.500

---

No. 3
DFT (PBE) results for a relaxed structure of Tb2TmSn3.

Summary:
SG: Immm, No. 71
E, eV per atom: -4.84
ΔH_f (0 K), meV/atom: -552

a = 6.759 Å, b = 6.759 Å, c = 6.759 Å
α = 135.29°, β = 125.17°, γ = 73.34°
Fractional coordinates of all 6 atoms:
Tb 0.169 0.169 0.000
Tb 0.831 0.831 0.000
Tm 0.500 0.500 0.000
Sn 0.000 0.500 0.500
Sn 0.340 0.840 0.500
Sn 0.660 0.160 0.500

---

No. 4
DFT (PBE) results for a relaxed structure of BeTlCl2.

Summary:
SG: Cmm2, No. 35
Uncorrected formation energy, eV per atom: -0.375
E, eV per atom: -2.82
Distance to the lowest polymorph of the same formula, meV per atom: 392

a = 3.849 Å, b = 3.849 Å, c = 8.737 Å
α = 90.00°, β = 90.00°, γ = 128.21°
Fractional coordinates of all 4 atoms:
Be 0.000 0.000 0.000
Tl 0.500 0.500 0.243
Cl 0.000 0.000 0.484
Cl 0.500 0.500 0.861

---

No. 5
DFT (PBE) results for a relaxed structure of Ce6SnGe3.

Summary:
SG: Cmcm, No. 63
E, eV per atom: -5.94
ΔH_f (0 K), meV/atom: -595

a = 8.136 Å, b = 8.136 Å, c = 8.145 Å
α = 90.00°, β = 90.00°, γ = 87.97°
Fractional coordinates of all 20 atoms:
Ce 0.010 0.505 0.750
Ce 0.136 0.864 0.506
Ce 0.136 0.864 0.994
Ce 0.343 0.343 0.000
Ce 0.343 0.343 0.500
Ce 0.495 0.990 0.750
Ce 0.505 0.010 0.250
Ce 0.657 0.657 0.000
Ce 0.657 0.657 0.500
Ce 0.864 0.136 0.006
Ce 0.864 0.136 0.494
Ce 0.990 0.495 0.250
Sn 0.347 0.653 0.250
Sn 0.653 0.347 0.750
Ge 0.151 0.155 0.750
Ge 0.155 0.151 0.250
Ge 0.350 0.650 0.750
Ge 0.650 0.350 0.250
Ge 0.845 0.849 0.750
Ge 0.849 0.845 0.250

---

No. 6
DFT (PBE) results for a relaxed structure of SrBe2ReO8.

Summary:
SG: P-3, No. 147
Uncorrected formation energy, eV per atom: -1.669
E, eV per atom: -6.77

a = 5.207 Å, b = 5.207 Å, c = 6.814 Å
α = 90.00°, β = 90.00°, γ = 120.00°
Fractional coordinates of all 12 atoms:
Sr 0.000 0.000 0.000
Be 0.333 0.667 0.739
Be 0.667 0.333 0.261
Re 0.000 0.000 0.500
O 0.165 0.332 0.665
O 0.167 0.835 0.665
O 0.332 0.167 0.335
O 0.333 0.667 0.978
O 0.667 0.333 0.022
O 0.668 0.833 0.665
O 0.833 0.165 0.335
O 0.835 0.668 0.335

---

No. 7
DFT (PBE) results for a relaxed structure of Ca4TlIn.

Summary:
SG: F-43m, No. 216
E, eV per atom: -2.01
ΔH_f (0 K), meV/atom: 177
Distance to the lowest polymorph of the same formula, meV per atom: 494

a = 6.756 Å, b = 6.756 Å, c = 6.756 Å
α = 60.00°, β = 60.00°, γ = 60.00°
Fractional coordinates of all 6 atoms:
Ca 0.125 0.125 0.125
Ca 0.125 0.125 0.626
Ca 0.125 0.626 0.125
Ca 0.626 0.125 0.125
Tl 0.500 0.500 0.500
In 0.750 0.750 0.750

---

No. 8
DFT (PBE) results for a relaxed structure of Rb3Hg7Bi.

Summary:
SG: Cmcm, No. 63
E, eV per atom: -1.01
ΔH_f (0 K), meV/atom: -201

a = 12.254 Å, b = 12.254 Å, c = 12.952 Å
α = 90.00°, β = 90.00°, γ = 154.71°
Fractional coordinates of all 22 atoms:
Rb 0.097 0.903 0.547
Rb 0.097 0.903 0.953
Rb 0.219 0.781 0.250
Rb 0.781 0.219 0.750
Rb 0.903 0.097 0.047
Rb 0.903 0.097 0.453
Hg 0.259 0.741 0.548
Hg 0.259 0.741 0.952
Hg 0.378 0.622 0.634
Hg 0.378 0.622 0.866
Hg 0.379 0.621 0.250
Hg 0.493 0.507 0.124
Hg 0.493 0.507 0.376
Hg 0.507 0.493 0.624
Hg 0.507 0.493 0.876
Hg 0.621 0.379 0.750
Hg 0.622 0.378 0.134
Hg 0.622 0.378 0.366
Hg 0.741 0.259 0.048
Hg 0.741 0.259 0.452
Bi 0.052 0.948 0.250
Bi 0.948 0.052 0.750

---

No. 9
DFT (PBE) results for a relaxed structure of TaTl2Pb.

Summary:
SG: Cmmm, No. 65
E, eV per atom: -4.43
ΔH_f (0 K), meV/atom: 645
Distance to the lowest polymorph of the same formula, meV per atom: 254

a = 5.615 Å, b = 5.615 Å, c = 3.175 Å
α = 90.00°, β = 90.00°, γ = 100.79°
Fractional coordinates of all 4 atoms:
Ta 0.000 0.000 0.000
Tl 0.000 0.500 0.500
Tl 0.500 0.000 0.500
Pb 0.500 0.500 0.000

---

No. 10
DFT (PBE) results for a relaxed structure of Y2ScCuN.

Summary:
SG: P4/mmm, No. 123
Uncorrected formation energy, eV per atom: -0.735
E, eV per atom: -7.07

a = 4.850 Å, b = 4.850 Å, c = 4.243 Å
α = 90.00°, β = 90.00°, γ = 90.00°
Fractional coordinates of all 5 atoms:
Y 0.000 0.500 0.000
Y 0.500 0.000 0.000
Sc 0.000 0.000 0.500
Cu 0.500 0.500 0.500
N 0.000 0.000 0.000

---

No. 11
DFT (PBE) results for a relaxed structure of Ac2TbScSe5.

Summary:
SG: Cmc2_1, No. 36
Uncorrected formation energy, eV per atom: -1.833
E, eV per atom: -5.90

a = 9.007 Å, b = 9.007 Å, c = 13.298 Å
α = 90.00°, β = 90.00°, γ = 152.81°
Fractional coordinates of all 18 atoms:
Ac 0.105 0.895 0.500
Ac 0.143 0.857 0.121
Ac 0.857 0.143 0.621
Ac 0.895 0.105 0.000
Tb 0.207 0.793 0.825
Tb 0.793 0.207 0.325
Sc 0.471 0.529 0.268
Sc 0.529 0.471 0.768
Se 0.053 0.947 0.881
Se 0.281 0.719 0.474
Se 0.324 0.676 0.177
Se 0.373 0.627 0.812
Se 0.486 0.514 0.581
Se 0.514 0.486 0.081
Se 0.627 0.373 0.312
Se 0.676 0.324 0.677
Se 0.719 0.281 0.974
Se 0.947 0.053 0.381

---

No. 12
DFT (PBE) results for a relaxed structure of KMgPb2F8.

Summary:
SG: P2/m, No. 10
Uncorrected formation energy, eV per atom: -2.574
E, eV per atom: -4.66

a = 4.228 Å, b = 7.964 Å, c = 5.531 Å
α = 90.00°, β = 96.64°, γ = 90.00°
Fractional coordinates of all 12 atoms:
K 0.000 0.000 0.000
Mg 0.000 0.500 0.000
Pb 0.500 0.260 0.500
Pb 0.500 0.740 0.500
F 0.046 0.299 0.756
F 0.046 0.701 0.756
F 0.429 0.500 0.224
F 0.471 0.000 0.723
F 0.529 0.000 0.277
F 0.571 0.500 0.776
F 0.954 0.299 0.244
F 0.954 0.701 0.244

---

No. 13
DFT (PBE) results for a relaxed structure of Ac6TlI8.

Summary:
SG: R-3, No. 148
Uncorrected formation energy, eV per atom: -1.110
E, eV per atom: -3.74

a = 13.241 Å, b = 13.241 Å, c = 13.241 Å
α = 34.67°, β = 34.67°, γ = 34.67°
Fractional coordinates of all 15 atoms:
Ac 0.054 0.386 0.723
Ac 0.277 0.946 0.614
Ac 0.386 0.723 0.054
Ac 0.614 0.277 0.946
Ac 0.723 0.054 0.386
Ac 0.946 0.614 0.277
Tl 0.000 0.000 0.000
I 0.113 0.785 0.441
I 0.215 0.559 0.887
I 0.333 0.333 0.333
I 0.441 0.113 0.785
I 0.559 0.887 0.215
I 0.667 0.667 0.667
I 0.785 0.441 0.113
I 0.887 0.215 0.559

---

No. 14
DFT (PBE) results for a relaxed structure of Ti5BeRu4.

Summary:
SG: P4/mmm, No. 123
E, eV per atom: -8.67
ΔH_f (0 K), meV/atom: -641

a = 3.076 Å, b = 3.076 Å, c = 15.117 Å
α = 90.00°, β = 90.00°, γ = 90.00°
Fractional coordinates of all 10 atoms:
Ti 0.000 0.000 0.000
Ti 0.000 0.000 0.204
Ti 0.000 0.000 0.407
Ti 0.000 0.000 0.593
Ti 0.000 0.000 0.796
Be 0.500 0.500 0.500
Ru 0.500 0.500 0.103
Ru 0.500 0.500 0.308
Ru 0.500 0.500 0.692
Ru 0.500 0.500 0.897

---

No. 15
DFT (PBE) results for a relaxed structure of TcNCl3.

Summary:
SG: C2/c, No. 15
Uncorrected formation energy, eV per atom: -0.364
E, eV per atom: -5.21
Distance to the lowest polymorph of the same formula, meV per atom: 0

a = 7.403 Å, b = 7.403 Å, c = 12.086 Å
α = 90.65°, β = 90.65°, γ = 122.31°
Fractional coordinates of all 20 atoms:
Tc 0.023 0.100 0.142
Tc 0.100 0.023 0.642
Tc 0.900 0.977 0.358
Tc 0.977 0.900 0.858
N 0.197 0.797 0.702
N 0.203 0.803 0.798
N 0.797 0.197 0.202
N 0.803 0.203 0.298
Cl 0.010 0.220 0.518
Cl 0.170 0.264 0.793
Cl 0.217 0.450 0.093
Cl 0.220 0.010 0.018
Cl 0.264 0.170 0.293
Cl 0.450 0.217 0.593
Cl 0.550 0.783 0.407
Cl 0.736 0.830 0.707
Cl 0.780 0.990 0.982
Cl 0.783 0.550 0.907
Cl 0.830 0.736 0.207
Cl 0.990 0.780 0.482

---

No. 16
DFT (PBE) results for a relaxed structure of In2HPb.

Summary:
SG: P-1, No. 2
E, eV per atom: -2.96
Distance to the lowest polymorph of the same formula, meV per atom: 0

a = 3.579 Å, b = 5.583 Å, c = 9.601 Å
α = 89.30°, β = 89.96°, γ = 89.11°
Fractional coordinates of all 8 atoms:
In 0.249 0.255 0.300
In 0.250 0.750 0.977
In 0.750 0.250 0.023
In 0.751 0.745 0.700
H 0.250 0.248 0.500
H 0.750 0.752 0.500
Pb 0.250 0.246 0.718
Pb 0.750 0.754 0.282

---

No. 17
DFT (PBE) results for a relaxed structure of YZr2Mo.

Summary:
SG: P4/mmm, No. 123
E, eV per atom: -8.29
ΔH_f (0 K), meV/atom: 310
Distance to the lowest polymorph of the same formula, meV per atom: 240

a = 4.912 Å, b = 4.912 Å, c = 3.636 Å
α = 90.00°, β = 90.00°, γ = 90.00°
Fractional coordinates of all 4 atoms:
Y 0.000 0.000 0.000
Zr 0.000 0.500 0.500
Zr 0.500 0.000 0.500
Mo 0.500 0.500 0.000

---

No. 18
DFT (PBE) results for a relaxed structure of Fe2P.

Summary:
SG: I4/mmm, No. 139
E, eV per atom: -7.61
ΔH_f (0 K), meV/atom: -164

a = 4.697 Å, b = 4.697 Å, c = 4.697 Å
α = 146.21°, β = 146.21°, γ = 48.54°
Fractional coordinates of all 3 atoms:
Fe 0.149 0.149 0.000
Fe 0.851 0.851 0.000
P 0.500 0.500 0.000

---

No. 19
DFT (PBE) results for a relaxed structure of Ca2PuHg3.

Summary:
SG: P4/mmm, No. 123
E, eV per atom: -3.60
ΔH_f (0 K), meV/atom: -394

a = 3.713 Å, b = 3.713 Å, c = 11.698 Å
α = 90.00°, β = 90.00°, γ = 90.00°
Fractional coordinates of all 6 atoms:
Ca 0.000 0.000 0.164
Ca 0.000 0.000 0.836
Pu 0.000 0.000 0.500
Hg 0.500 0.500 0.000
Hg 0.500 0.500 0.330
Hg 0.500 0.500 0.670

---

No. 20
DFT (PBE) results for a relaxed structure of Ce5PuGe2.

Summary:
SG: P1, No. 1
E, eV per atom: -7.04
ΔH_f (0 K), meV/atom: -386

a = 6.258 Å, b = 6.336 Å, c = 6.396 Å
α = 113.21°, β = 112.66°, γ = 102.00°
Fractional coordinates of all 8 atoms:
Ce 0.000 0.000 0.000
Ce 0.036 0.456 0.001
Ce 0.434 0.953 0.001
Ce 0.500 0.463 0.541
Ce 0.961 0.923 0.461
Pu 0.618 0.463 0.001
Ge 0.503 0.972 0.540
Ge 0.963 0.432 0.461

---

No. 21
DFT (PBE) results for a relaxed structure of NdSm3Ho7.

Summary:
SG: P3m1, No. 156
E, eV per atom: -4.45
ΔH_f (0 K), meV/atom: 185
Distance to the lowest polymorph of the same formula, meV per atom: 38

a = 7.060 Å, b = 7.060 Å, c = 8.663 Å
α = 90.00°, β = 90.00°, γ = 120.00°
Fractional coordinates of all 11 atoms:
Nd 0.000 0.000 0.000
Sm 0.167 0.334 0.339
Sm 0.167 0.833 0.339
Sm 0.666 0.833 0.339
Ho 0.002 0.501 0.000
Ho 0.332 0.166 0.673
Ho 0.333 0.667 0.675
Ho 0.499 0.501 0.000
Ho 0.499 0.998 0.000
Ho 0.834 0.166 0.673
Ho 0.834 0.668 0.673

---

No. 22
DFT (PBE) results for a relaxed structure of Ba4Pa3CoN8.

Summary:
SG: R-3m, No. 166
Uncorrected formation energy, eV per atom: -0.883
E, eV per atom: -7.75

a = 7.595 Å, b = 7.595 Å, c = 7.595 Å
α = 56.90°, β = 56.90°, γ = 56.90°
Fractional coordinates of all 16 atoms:
Ba 0.000 0.000 0.000
Ba 0.000 0.500 0.500
Ba 0.500 0.000 0.500
Ba 0.500 0.500 0.000
Pa 0.000 0.000 0.500
Pa 0.000 0.500 0.000
Pa 0.500 0.000 0.000
Co 0.500 0.500 0.500
N 0.201 0.741 0.741
N 0.228 0.228 0.228
N 0.259 0.259 0.799
N 0.259 0.799 0.259
N 0.741 0.201 0.741
N 0.741 0.741 0.201
N 0.772 0.772 0.772
N 0.799 0.259 0.259